Computed, not measured: a relaxed ThTl2Hg crystal at the GGA-PBE level of DFT.

Computed properties:
For the energy of formation from the pure elements, the calculation gives 0.193 eV per atom. The value obtained for the mass density is 11.39 g/cm3.

Cell and atoms, written as CIF:
```
data_ThTl2Hg
_symmetry_space_group_name_H-M 'R -3 m'
_symmetry_Int_Tables_number 166
_symmetry_space_group_name_Hall '-R 3 2"'
_cell_length_a 3.4812
_cell_length_b 3.4812
_cell_length_c 35.0565
_cell_angle_alpha 90.00
_cell_angle_beta 90.00
_cell_angle_gamma 120.00
loop_
_atom_site_label
_atom_site_type_symbol
_atom_site_fract_x
_atom_site_fract_y
_atom_site_fract_z
Th1 Th 0.0000 0.0000 0.0000
Tl1 Tl 0.0000 0.0000 0.0935
Hg1 Hg 0.0000 0.0000 0.5000
```



Computed, not measured: a relaxed NdNi6B crystal at the GGA-PBE level of DFT.

Computed properties:
For the energy of formation from the pure elements, the calculation gives -0.101 eV per atom. The value obtained for the mass density is 8.14 g/cm3.

Cell and atoms, written as CIF:
```
data_NdNi6B
_symmetry_space_group_name_H-M 'P 4/m m m'
_symmetry_Int_Tables_number 123
_symmetry_space_group_name_Hall '-P 4 2'
_cell_length_a 3.587
_cell_length_b 3.587
_cell_length_c 8.044
_cell_angle_alpha 90.00
_cell_angle_beta 90.00
_cell_angle_gamma 90.00
loop_
_atom_site_label
_atom_site_type_symbol
_atom_site_fract_x
_atom_site_fract_y
_atom_site_fract_z
Nd1 Nd 0.000 0.000 0.000
Ni1 Ni 0.000 0.500 0.354
Ni2 Ni 0.500 0.500 0.154
B1 B 0.000 0.000 0.500
```



Computed, not measured: a relaxed Cd2SiAu4 crystal at the GGA-PBE level of DFT.

Computed properties:
The formation energy from raw total energies comes out at -0.0636 eV per atom. The value obtained for the mass density is 12.43 g/cm3.

Cell and atoms, written as CIF:
```
data_Cd2SiAu4
_symmetry_space_group_name_H-M 'P -1'
_symmetry_Int_Tables_number 2
_cell_length_a 5.186
_cell_length_b 6.893
_cell_length_c 8.213
_cell_angle_alpha 80.45
_cell_angle_beta 74.69
_cell_angle_gamma 82.46
loop_
_symmetry_equiv_pos_as_xyz
'x,y,z'
'-x,-y,-z'
loop_
_atom_site_label
_atom_site_type_symbol
_atom_site_fract_x
_atom_site_fract_y
_atom_site_fract_z
Cd1 Cd 0.164 0.192 0.060
Cd2 Cd 0.273 0.821 0.447
Si1 Si 0.415 0.783 0.800
Au1 Au 0.186 0.093 0.701
Au2 Au 0.223 0.386 0.404
Au3 Au 0.225 0.490 0.756
Au4 Au 0.296 0.700 0.111
```



Computed, not measured: a relaxed CeNd6DyY2 crystal at the GGA-PBE level of DFT.

Computed properties:
For the energy of formation from the pure elements, the calculation gives 0.237 eV per atom. The value obtained for the mass density is 6.44 g/cm3.

Cell and atoms, written as CIF:
```
data_CeNd6DyY2
_symmetry_space_group_name_H-M 'C 1 2/m 1'
_symmetry_Int_Tables_number 12
_cell_length_a 11.352
_cell_length_b 7.090
_cell_length_c 8.880
_cell_angle_alpha 90.00
_cell_angle_beta 103.66
_cell_angle_gamma 90.00
loop_
_symmetry_equiv_pos_as_xyz
'x,y,z'
'-x,-y,-z'
'-x,y,-z'
'x,-y,z'
'x+1/2,y+1/2,z'
'-x+1/2,-y+1/2,-z'
'-x+1/2,y+1/2,-z'
'x+1/2,-y+1/2,z'
loop_
_atom_site_label
_atom_site_type_symbol
_atom_site_fract_x
_atom_site_fract_y
_atom_site_fract_z
Ce1 Ce 0.000 0.000 0.000
Nd1 Nd 0.127 0.000 0.418
Nd2 Nd 0.171 0.267 0.797
Dy1 Dy 0.000 0.500 0.500
Y1 Y 0.093 0.500 0.165
```



Computed, not measured: a relaxed YInTc2 crystal at the GGA-PBE level of DFT.

Computed properties:
For the energy of formation from the pure elements, the calculation gives 0.252 eV per atom. The value obtained for the mass density is 8.83 g/cm3.

Cell and atoms, written as CIF:
```
data_YInTc2
_symmetry_space_group_name_H-M 'P 4/m m m'
_symmetry_Int_Tables_number 123
_symmetry_space_group_name_Hall '-P 4 2'
_cell_length_a 4.240
_cell_length_b 4.240
_cell_length_c 4.180
_cell_angle_alpha 90.00
_cell_angle_beta 90.00
_cell_angle_gamma 90.00
loop_
_atom_site_label
_atom_site_type_symbol
_atom_site_fract_x
_atom_site_fract_y
_atom_site_fract_z
Y1 Y 0.000 0.000 0.000
In1 In 0.500 0.500 0.000
Tc1 Tc 0.000 0.500 0.500
```



Computed, not measured: a relaxed MnZn2Pd3 crystal at the GGA-PBE level of DFT.

Computed properties:
For the energy of formation from the pure elements, the calculation gives -0.448 eV per atom. The value obtained for the mass density is 9.54 g/cm3.

Cell and atoms, written as CIF:
```
data_MnZn2Pd3
_symmetry_space_group_name_H-M 'C m m m'
_symmetry_Int_Tables_number 65
_symmetry_space_group_name_Hall '-C 2 2'
_cell_length_a 4.142
_cell_length_b 12.406
_cell_length_c 6.841
_cell_angle_alpha 90.00
_cell_angle_beta 90.00
_cell_angle_gamma 90.00
loop_
_atom_site_label
_atom_site_type_symbol
_atom_site_fract_x
_atom_site_fract_y
_atom_site_fract_z
Mn1 Mn 0.000 0.164 0.000
Zn1 Zn 0.000 0.168 0.500
Zn2 Zn 0.000 0.500 0.000
Zn3 Zn 0.000 0.500 0.500
Pd1 Pd 0.000 0.000 0.256
Pd2 Pd 0.000 0.334 0.252
```



Computed, not measured: a relaxed FePbWSe2 crystal at the GGA-PBE level of DFT.

Computed properties:
The formation energy from raw total energies comes out at 1.2277 eV per atom. The value obtained for the mass density is 9.30 g/cm3.

Cell and atoms, written as CIF:
```
data_FePbWSe2
_symmetry_space_group_name_H-M 'P 4/m m m'
_symmetry_Int_Tables_number 123
_symmetry_space_group_name_Hall '-P 4 2'
_cell_length_a 4.567
_cell_length_b 4.567
_cell_length_c 5.176
_cell_angle_alpha 90.00
_cell_angle_beta 90.00
_cell_angle_gamma 90.00
loop_
_atom_site_label
_atom_site_type_symbol
_atom_site_fract_x
_atom_site_fract_y
_atom_site_fract_z
Fe1 Fe 0.000 0.000 0.000
Pb1 Pb 0.000 0.000 0.500
W1 W 0.500 0.500 0.500
Se1 Se 0.000 0.500 0.000
```



Computed, not measured: a relaxed PmPrO crystal at the GGA-PBE level of DFT.

Computed properties:
The formation energy from raw total energies comes out at -1.6835 eV per atom. The value obtained for the mass density is 6.96 g/cm3.

Cell and atoms, written as CIF:
```
data_PmPrO
_symmetry_space_group_name_H-M 'P 3 m 1'
_symmetry_Int_Tables_number 156
_cell_length_a 3.6977
_cell_length_b 3.6977
_cell_length_c 6.0810
_cell_angle_alpha 90.00
_cell_angle_beta 90.00
_cell_angle_gamma 120.00
loop_
_symmetry_equiv_pos_as_xyz
'x,y,z'
'-y,x-y,z'
'-x+y,-x,z'
'-y,-x,z'
'-x+y,y,z'
'x,x-y,z'
loop_
_atom_site_label
_atom_site_type_symbol
_atom_site_fract_x
_atom_site_fract_y
_atom_site_fract_z
Pm1 Pm 0.0000 0.0000 0.0000
Pr1 Pr 0.6667 0.3333 0.5453
O1 O 0.3333 0.6667 0.7869
```



Computed, not measured: a relaxed TiSb4Mo crystal at the GGA-PBE level of DFT.

Computed properties:
The formation energy from raw total energies comes out at -0.2069 eV per atom. The value obtained for the mass density is 7.86 g/cm3.

Cell and atoms, written as CIF:
```
data_TiSb4Mo
_symmetry_space_group_name_H-M 'C 1 m 1'
_symmetry_Int_Tables_number 8
_cell_length_a 10.254
_cell_length_b 3.631
_cell_length_c 8.281
_cell_angle_alpha 90.00
_cell_angle_beta 120.11
_cell_angle_gamma 90.00
loop_
_symmetry_equiv_pos_as_xyz
'x,y,z'
'x,-y,z'
'x+1/2,y+1/2,z'
'x+1/2,-y+1/2,z'
loop_
_atom_site_label
_atom_site_type_symbol
_atom_site_fract_x
_atom_site_fract_y
_atom_site_fract_z
Ti1 Ti 0.000 0.000 0.000
Sb1 Sb 0.057 0.500 0.302
Sb2 Sb 0.249 0.500 0.083
Sb3 Sb 0.299 0.000 0.725
Sb4 Sb 0.498 0.500 0.648
Mo1 Mo 0.302 0.000 0.380
```



Computed, not measured: a relaxed NiHgPt2 crystal at the GGA-PBE level of DFT.

Computed properties:
For the energy of formation from the pure elements, the calculation gives 0.050 eV per atom. The value obtained for the mass density is 17.08 g/cm3.

Cell and atoms, written as CIF:
```
data_NiHgPt2
_symmetry_space_group_name_H-M 'C 1 2/m 1'
_symmetry_Int_Tables_number 12
_cell_length_a 9.367
_cell_length_b 2.871
_cell_length_c 4.810
_cell_angle_alpha 90.00
_cell_angle_beta 102.48
_cell_angle_gamma 90.00
loop_
_symmetry_equiv_pos_as_xyz
'x,y,z'
'-x,-y,-z'
'-x,y,-z'
'x,-y,z'
'x+1/2,y+1/2,z'
'-x+1/2,-y+1/2,-z'
'-x+1/2,y+1/2,-z'
'x+1/2,-y+1/2,z'
loop_
_atom_site_label
_atom_site_type_symbol
_atom_site_fract_x
_atom_site_fract_y
_atom_site_fract_z
Ni1 Ni 0.000 0.000 0.000
Hg1 Hg 0.000 0.500 0.500
Pt1 Pt 0.241 0.500 0.236
```



Computed, not measured: a relaxed MnCr3P crystal at the GGA-PBE level of DFT.

Computed properties:
For the energy of formation from the pure elements, the calculation gives 1.109 eV per atom. The value obtained for the mass density is 5.23 g/cm3.

Cell and atoms, written as CIF:
```
data_MnCr3P
_symmetry_space_group_name_H-M 'P m -3 m'
_symmetry_Int_Tables_number 221
_symmetry_space_group_name_Hall '-P 4 2 3'
_cell_length_a 4.250
_cell_length_b 4.250
_cell_length_c 4.250
_cell_angle_alpha 90.00
_cell_angle_beta 90.00
_cell_angle_gamma 90.00
loop_
_atom_site_label
_atom_site_type_symbol
_atom_site_fract_x
_atom_site_fract_y
_atom_site_fract_z
Mn1 Mn 0.000 0.000 0.000
Cr1 Cr 0.000 0.000 0.500
P1 P 0.500 0.500 0.500
```



Computed, not measured: a relaxed Gd2MgCd crystal at the GGA-PBE level of DFT.

Computed properties:
For the energy of formation from the pure elements, the calculation gives 0.176 eV per atom. The value obtained for the mass density is 6.32 g/cm3.

Cell and atoms, written as CIF:
```
data_Gd2MgCd
_symmetry_space_group_name_H-M 'R -3 m'
_symmetry_Int_Tables_number 166
_symmetry_space_group_name_Hall '-R 3 2"'
_cell_length_a 3.3944
_cell_length_b 3.3944
_cell_length_c 35.6297
_cell_angle_alpha 90.00
_cell_angle_beta 90.00
_cell_angle_gamma 120.00
loop_
_atom_site_label
_atom_site_type_symbol
_atom_site_fract_x
_atom_site_fract_y
_atom_site_fract_z
Gd1 Gd 0.0000 0.0000 0.0912
Mg1 Mg 0.0000 0.0000 0.5000
Cd1 Cd 0.0000 0.0000 0.0000
```